## Sc5InHg4 (GGA-PBE)

Data for an optimized crystal structure of Sc5InHg4.

The calculation puts the total energy at -3.99 eV per atom. The calculated formation energy comes out at -412 kJ/mol of formula units. The calculation puts the calculated density at 8.623 g/cm³. The calculation puts the density of states at the Fermi level at 1.0008 states/eV/atom.

The structure belongs to space group P4/mmm (No. 123); the cell edges are 3.534, 3.534 and 17.612 Å and the angles 90.00°, 90.00° and 90.00°. The distinct sites, in fractional coordinates, are Sc at (0.000, 0.000, 0.000), Sc at (0.000, 0.000, 0.199), Sc at (0.000, 0.000, 0.396), In at (0.500, 0.500, 0.500), Hg at (0.500, 0.500, 0.100) and Hg at (0.500, 0.500, 0.298).